[1]
The following is a DFT calculation (GGA-PBE) of a relaxed structure of Sm4AsIrSe2.

a b c (Å): 4.1425 7.2776 7.3637
angles (deg): 108.69 90.00 90.00
Last column: nearest neighbours and their distance in Å.
Positions (direct):
Ir1 0.0000 0.0000 0.0000  6 Sm 2.85-2.87
Se1 0.5000 0.0000 0.5000  6 Sm 3.01
Se2 0.0000 0.5000 0.5000  6 Sm 3.08-3.10
Sm1 0.0000 0.2456 0.7665  1 Ir 2.85, 2 As 2.94, 3 Se 3.01-3.10
Sm2 0.0000 0.7544 0.2335  1 Ir 2.85, 2 As 2.94, 3 Se 3.01-3.10
Sm3 0.5000 0.2350 0.2296  2 Ir 2.87, 1 As 2.94, 3 Se 3.01-3.08
Sm4 0.5000 0.7650 0.7704  2 Ir 2.87, 1 As 2.94, 3 Se 3.01-3.08
As1 0.5000 0.5000 0.0000  6 Sm 2.94

- energy (eV/atom) = -6.37
- mass density (g/cm³) = 8.11

***

[2]
The following is a DFT calculation (GGA-PBE) of a relaxed structure of SnAs2IrSe.

a b c (Å): 4.7092 4.7092 5.5244
angles (deg): 90.00 90.00 90.00
Last column: nearest neighbours and their distance in Å.
Positions (direct):
As1 0.0000 0.5000 0.0000  2 Ir 2.35
As2 0.5000 0.0000 0.0000  2 Ir 2.35
Sn1 0.5000 0.5000 0.5000  4 Se 3.33, 8 As 3.63
Se1 0.0000 0.0000 0.5000  2 Ir 2.76
Ir1 0.0000 0.0000 0.0000  4 As 2.35

- polymorph energy (0 for the lowest one) (eV/f.u.) = 0.00
- mass density (g/cm³) = 7.32

***

[3]
The following is a DFT calculation (GGA-PBE) of a relaxed structure of SrAsIrSe2.

a b c (Å): 5.3080 5.3080 4.5519
angles (deg): 90.00 90.00 90.00
Last column: nearest neighbours and their distance in Å.
Positions (direct):
Ir1 0.0000 0.0000 0.0000  2 As 2.28
Se1 0.0000 0.5000 0.0000  2 Ir 2.65
Se2 0.5000 0.0000 0.0000  2 Ir 2.65
As1 0.0000 0.0000 0.5000  2 Ir 2.28
Sr1 0.5000 0.5000 0.5000  8 Se 3.50, 4 As 3.75

- polymorph energy (0 for the lowest one) (eV/f.u.) = 0.00
- mass density (g/cm³) = 6.64